Tb5Pr5Sc2 after structural relaxation. Source: the Alexandria database, functional GGA-PBE.

- Energy relative to the elements: 41 meV per atom
- Space group: No. 12

Lattice parameters (Å, degrees): 5.056 7.992 10.744 72.55 76.39 71.56
Fractional positions:
1 Tb 0.421 0.910 0.249
2 Tb 0.500 0.500 0.500
3 Pr 0.838 0.826 0.498
4 Pr 0.162 0.174 0.502
5 Sc 0.916 0.413 0.754
6 Sc 0.084 0.587 0.246
7 Tb 0.579 0.090 0.751
8 Tb 0.668 0.664 0.000
9 Pr 0.254 0.742 0.750
10 Pr 0.746 0.258 0.250
11 Pr 0.000 0.000 0.000
12 Tb 0.332 0.336 0.000

Tb5Pr2Sc4 after structural relaxation. Source: the Alexandria database, functional GGA-PBE.

- Energy relative to the elements: 179 meV per atom
- Space group: No. 12

Lattice parameters (Å, degrees): 6.643 6.876 8.992 79.27 68.33 61.12
Fractional positions:
1 Sc 0.272 0.323 0.134
2 Tb 0.238 0.155 0.831
3 Tb 0.225 0.845 0.169
4 Pr 0.315 0.615 0.755
5 Tb 0.775 0.155 0.831
6 Sc 0.277 0.975 0.471
7 Sc 0.728 0.677 0.866
8 Pr 0.685 0.385 0.245
9 Tb 0.000 0.500 0.500
10 Tb 0.762 0.845 0.169
11 Sc 0.723 0.025 0.529

Tb3Pr4Sc after structural relaxation. Source: the Alexandria database, functional GGA-PBE.

- Energy relative to the elements: 45 meV per atom
- Polymorph energy (0 for the lowest one): 0 meV per atom
- Space group: No. 31

Lattice parameters (Å, degrees): 6.292 7.313 11.582 90.00 90.00 90.00
Fractional positions:
1 Tb 0.478 0.383 0.250
2 Sc 0.645 0.614 0.500
3 Tb 0.478 0.383 0.750
4 Pr 0.987 0.131 0.240
5 Pr 0.487 0.869 0.740
6 Pr 0.632 0.130 0.000
7 Tb 0.651 0.622 0.000
8 Tb 0.978 0.617 0.750
9 Pr 0.487 0.869 0.260
10 Tb 0.151 0.378 0.500
11 Sc 0.145 0.386 0.000
12 Tb 0.978 0.617 0.250
13 Pr 0.987 0.131 0.760
14 Pr 0.657 0.134 0.500
15 Pr 0.132 0.870 0.500
16 Pr 0.157 0.866 0.000

Tb2Pr8Sc3 after structural relaxation. Source: the Alexandria database, functional GGA-PBE.

- Energy relative to the elements: 177 meV per atom
- Polymorph energy (0 for the lowest one): 0 meV per atom
- Space group: No. 12

Lattice parameters (Å, degrees): 6.030 8.865 8.865 81.21 72.97 72.97
Fractional positions:
1 Tb 0.676 0.683 0.683
2 Pr 0.646 0.080 0.611
3 Pr 0.354 0.920 0.389
4 Pr 0.354 0.389 0.920
5 Sc 0.500 0.000 0.000
6 Sc 0.000 0.732 0.268
7 Pr 0.883 0.136 0.136
8 Pr 0.758 0.415 0.415
9 Pr 0.646 0.611 0.080
10 Pr 0.242 0.585 0.585
11 Tb 0.324 0.317 0.317
12 Pr 0.117 0.864 0.864
13 Sc 0.000 0.268 0.732

Tb5Pr2Sc after structural relaxation. Source: the Alexandria database, functional GGA-PBE.

- Energy relative to the elements: 38 meV per atom
- Polymorph energy (0 for the lowest one): 5 meV per atom
- Space group: No. 139

Lattice parameters (Å, degrees): 5.050 5.050 10.668 103.69 103.69 90.00
Fractional positions:
1 Pr 0.750 0.750 0.500
2 Tb 0.620 0.120 0.240
3 Tb 0.380 0.880 0.760
4 Tb 0.880 0.380 0.760
5 Sc 0.000 0.000 0.000
6 Tb 0.500 0.500 0.000
7 Tb 0.120 0.620 0.240
8 Pr 0.250 0.250 0.500

Tb7PrSc4 after structural relaxation. Source: the Alexandria database, functional GGA-PBE.

- Energy relative to the elements: 25 meV per atom
- Space group: No. 2

Lattice parameters (Å, degrees): 7.005 6.063 11.107 79.48 50.87 90.04
Fractional positions:
1 Tb 0.337 0.775 0.663
2 Sc 0.159 0.215 0.340
3 Tb 0.738 0.502 0.006
4 Tb 0.262 0.498 0.994
5 Tb 0.663 0.225 0.337
6 Sc 0.404 0.726 0.338
7 Pr 0.000 0.000 0.000
8 Tb 0.500 0.000 0.000
9 Tb 0.917 0.715 0.341
10 Tb 0.083 0.285 0.659
11 Sc 0.596 0.274 0.662
12 Sc 0.841 0.785 0.660

TbPr8Sc2 after structural relaxation. Source: the Alexandria database, functional GGA-PBE.

- Energy relative to the elements: 156 meV per atom
- Polymorph energy (0 for the lowest one): 34 meV per atom
- Space group: No. 12

Lattice parameters (Å, degrees): 5.951 9.105 9.329 60.79 75.16 58.35
Fractional positions:
1 Pr 0.705 0.582 0.000
2 Pr 0.830 0.096 0.239
3 Pr 0.170 0.904 0.761
4 Sc 0.000 0.690 0.619
5 Sc 0.000 0.310 0.381
6 Pr 0.500 0.208 0.583
7 Tb 0.500 0.000 0.000
8 Pr 0.170 0.665 0.239
9 Pr 0.295 0.418 0.000
10 Pr 0.500 0.792 0.417
11 Pr 0.830 0.335 0.761

Tb8PrSc3 after structural relaxation. Source: the Alexandria database, functional GGA-PBE.

- Energy relative to the elements: 399 meV per atom
- Space group: No. 71

Lattice parameters (Å, degrees): 8.528 8.528 8.528 96.41 135.49 100.09
Fractional positions:
1 Sc 0.500 0.290 0.790
2 Tb 0.051 0.282 0.769
3 Pr 0.000 0.000 0.000
4 Tb 0.834 0.088 0.253
5 Tb 0.166 0.419 0.254
6 Tb 0.487 0.718 0.769
7 Sc 0.500 0.710 0.210
8 Tb 0.513 0.282 0.231
9 Tb 0.165 0.912 0.746
10 Sc 0.000 0.500 0.500
11 Tb 0.835 0.581 0.747
12 Tb 0.949 0.718 0.231

Tb4PrSc4 after structural relaxation. Source: the Alexandria database, functional GGA-PBE.

- Energy relative to the elements: 58 meV per atom
- Space group: No. 139

Lattice parameters (Å, degrees): 4.883 7.705 7.705 84.24 71.53 71.53
Fractional positions:
1 Pr 0.000 0.000 0.000
2 Sc 0.000 0.342 0.658
3 Tb 0.330 0.000 0.339
4 Sc 0.000 0.658 0.342
5 Tb 0.670 0.000 0.661
6 Tb 0.330 0.339 0.000
7 Sc 0.342 0.658 0.658
8 Sc 0.658 0.342 0.342
9 Tb 0.670 0.661 0.000

TbPr2Sc2 after structural relaxation. Source: the Alexandria database, functional GGA-PBE.

- Energy relative to the elements: 164 meV per atom
- Polymorph energy (0 for the lowest one): 26 meV per atom
- Space group: No. 15

Lattice parameters (Å, degrees): 6.068 6.068 9.509 110.68 101.09 98.34
Fractional positions:
1 Pr 0.280 0.314 0.489
2 Sc 0.182 0.732 0.349
3 Pr 0.720 0.686 0.511
4 Pr 0.175 0.708 0.989
5 Pr 0.825 0.292 0.011
6 Sc 0.382 0.332 0.151
7 Sc 0.618 0.668 0.849
8 Tb 0.295 0.045 0.750
9 Tb 0.705 0.955 0.250
10 Sc 0.818 0.268 0.651

TbPr2Sc8 after structural relaxation. Source: the Alexandria database, functional GGA-PBE.

- Energy relative to the elements: 158 meV per atom
- Space group: No. 12

Lattice parameters (Å, degrees): 5.556 8.689 8.803 60.43 73.69 55.31
Fractional positions:
1 Sc 0.182 0.903 0.768
2 Tb 0.500 0.000 0.000
3 Sc 0.709 0.556 0.000
4 Sc 0.182 0.671 0.232
5 Pr 0.000 0.694 0.612
6 Sc 0.500 0.793 0.413
7 Sc 0.500 0.207 0.587
8 Sc 0.291 0.444 0.000
9 Pr 0.000 0.306 0.388
10 Sc 0.818 0.329 0.768
11 Sc 0.818 0.097 0.232

Tb6PrSc3 after structural relaxation. Source: the Alexandria database, functional GGA-PBE.

- Energy relative to the elements: 186 meV per atom
- Space group: No. 155

Lattice parameters (Å, degrees): 9.656 9.656 6.741 44.26 44.26 60.00
Fractional positions:
1 Pr 0.900 0.900 0.300
2 Tb 0.066 0.400 0.799
3 Tb 0.734 0.066 0.799
4 Sc 0.639 0.639 0.084
5 Tb 0.900 0.560 0.299
6 Tb 0.560 0.240 0.299
7 Tb 0.400 0.734 0.799
8 Sc 0.400 0.400 0.801
9 Sc 0.160 0.160 0.519
10 Tb 0.240 0.900 0.299

no.,final energy (eV per atom)
1,-4.935
2,-5.097
3,-4.872
4,-4.937
5,-4.842
6,-5.185
7,-4.892
8,-4.669
9,-5.345
10,-5.207
11,-5.736
12,-4.970